Entry 1:
RbLaCdTe3 PBE relaxed; ΔE_f (raw) = -1128 meV/atom; theoretical density = 4.8 g cm⁻³; magnetic moment = 0.00 μB/f.u.; space-group type = P2_1/m
1.0
9.9698 0.0000 0.0000
0.0000 4.6861 0.0000
-3.2687 0.0000 10.5795
Rb La Cd Te
2 2 2 6
Cartesian
1.3531 1.1715 2.5507
5.3479 3.5146 8.0287
0.4088 3.5146 9.1007
6.2922 1.1715 1.4788
-1.1547 1.1715 6.4488
7.8557 3.5146 4.1307
-1.8589 1.1715 9.1762
0.4111 3.5146 5.6958
4.0976 3.5146 1.6904
2.6035 1.1715 8.8891
6.2899 1.1715 4.8837
8.5599 3.5146 1.4033

---

Entry 2:
Rb2LaCd2Te4 PBE relaxed; ΔE_f (raw) = -919 meV/atom; theoretical density = 5.0 g cm⁻³; magnetic moment = 0.00 μB/f.u.; space-group type = C2/m
1.0
8.9499 -2.3088 0.0000
8.9499 2.3088 0.0000
-3.5398 0.0000 8.3450
Rb La Cd Te
2 1 2 4
Cartesian
2.0459 0.0000 0.5459
12.3142 0.0000 7.7991
-1.7699 0.0000 4.1725
3.8276 0.0000 4.1310
10.5324 0.0000 4.2140
0.9429 0.0000 5.9695
5.9296 0.0000 6.1069
8.4304 0.0000 2.2381
13.4171 0.0000 2.3755

---

Entry 3:
RbLaTlCd2 PBE relaxed; theoretical density = 5.2 g cm⁻³; magnetic moment = 0.00 μB/f.u.; energy of formation = 142.6 kJ/mol of formula units; space-group type = P4/mmm
1.0
5.8445 0.0000 0.0000
0.0000 5.8445 0.0000
0.0000 0.0000 6.1149
Rb La Tl Cd
1 1 1 2
Cartesian
0.0000 0.0000 0.0000
2.9223 2.9223 0.0000
2.9223 2.9223 3.0574
0.0000 2.9223 3.0574
2.9223 0.0000 3.0574

---

Entry 4:
La2Cd4Re PBE relaxed; theoretical density = 7.0 g cm⁻³; magnetic moment = 0.00 μB/f.u.; energy of formation = 242.6 kJ/mol of formula units; space-group type = I4/mmm
1.0
-2.5999 2.5999 7.9802
2.5999 -2.5999 7.9802
2.5999 2.5999 -7.9802
La Cd Re
2 4 1
Cartesian
0.0000 0.0000 2.0310
0.0000 0.0000 13.9294
2.5999 0.0000 0.0000
0.0000 0.0000 5.2965
0.0000 2.5999 0.0000
0.0000 0.0000 10.6638
0.0000 0.0000 7.9802

---

Entry 5:
LaCd2Re PBE relaxed; ΔE to the lowest computed polymorph = 38 meV per atom; theoretical density = 10.4 g cm⁻³; magnetic moment = 0.31 μB/f.u.; energy of formation = 128.0 kJ/mol of formula units; space-group type = I4/mmm
1.0
-2.1615 2.1615 4.7160
2.1615 -2.1615 4.7160
2.1615 2.1615 -4.7160
La Cd Re
1 2 1
Cartesian
0.0000 0.0000 0.0000
2.1615 0.0000 2.3580
0.0000 2.1615 2.3580
0.0000 0.0000 4.7160

---

Entry 6:
LaCd2Re PBE relaxed; ΔE to the lowest computed polymorph = 219 meV per atom; theoretical density = 10.1 g cm⁻³; magnetic moment = 0.00 μB/f.u.; energy of formation = 197.9 kJ/mol of formula units; space-group type = I-4m2
1.0
-2.3459 2.3459 4.0950
2.3459 -2.3459 4.0950
2.3459 2.3459 -4.0950
La Cd Re
1 2 1
Cartesian
0.0000 0.0000 0.0000
0.0000 0.0000 4.0950
0.0000 2.3459 2.0475
2.3459 0.0000 2.0475

---

Entry 7:
LaCd2Re PBE relaxed; ΔE to the lowest computed polymorph = 202 meV per atom; theoretical density = 10.7 g cm⁻³; magnetic moment = 0.58 μB/f.u.; energy of formation = 191.6 kJ/mol of formula units; space-group type = R-3m
1.0
1.5087 0.8711 10.8107
-1.5087 0.8711 10.8107
0.0000 -1.7421 10.8107
La Cd Re
1 2 1
Cartesian
0.0000 0.0000 0.0000
0.0000 0.0000 7.7815
0.0000 0.0000 24.6507
0.0000 0.0000 16.2161

---

Entry 8:
LaCd2Re PBE relaxed; ΔE to the lowest computed polymorph = 0 meV per atom; theoretical density = 10.0 g cm⁻³; magnetic moment = 0.45 μB/f.u.; energy of formation = 113.4 kJ/mol of formula units; space-group type = Immm
1.0
-1.7358 2.4416 5.3979
1.7358 -2.4416 5.3979
1.7358 2.4416 -5.3979
La Cd Re
1 2 1
Cartesian
0.0000 0.0000 0.0000
1.7358 0.0000 3.0754
0.0000 2.4416 2.3226
0.0000 0.0000 5.3979

---

Entry 9:
LaCd2Re PBE relaxed; ΔE to the lowest computed polymorph = 125 meV per atom; theoretical density = 10.4 g cm⁻³; magnetic moment = 0.00 μB/f.u.; energy of formation = 161.7 kJ/mol of formula units; space-group type = Cmm2
1.0
1.7468 -2.4861 0.0000
1.7468 2.4861 0.0000
0.0000 0.0000 10.1266
La Cd Re
1 2 1
Cartesian
0.0000 0.0000 0.0000
0.0000 0.0000 5.5576
1.7468 0.0000 2.9868
1.7468 0.0000 7.7951

---

Entry 10:
LaCd2Re PBE relaxed; ΔE to the lowest computed polymorph = 67 meV per atom; theoretical density = 10.6 g cm⁻³; magnetic moment = 0.00 μB/f.u.; energy of formation = 139.4 kJ/mol of formula units; space-group type = Pmmm
1.0
2.9885 0.0000 0.0000
0.0000 4.7754 0.0000
0.0000 0.0000 6.0576
La Cd Re
1 2 1
Cartesian
0.0000 0.0000 0.0000
1.4943 2.3877 1.6751
1.4943 2.3877 4.3824
0.0000 0.0000 3.0288

---

Entry 11:
LaCd2Re PBE relaxed; ΔE to the lowest computed polymorph = 121 meV per atom; theoretical density = 10.2 g cm⁻³; magnetic moment = 0.47 μB/f.u.; energy of formation = 160.1 kJ/mol of formula units; space-group type = P4/mmm
1.0
4.2221 0.0000 0.0000
0.0000 4.2221 0.0000
0.0000 0.0000 5.0394
La Cd Re
1 2 1
Cartesian
0.0000 0.0000 0.0000
0.0000 2.1111 2.5197
2.1111 0.0000 2.5197
2.1111 2.1111 0.0000

---

Entry 12:
La2CdRe PBE relaxed; theoretical density = 8.7 g cm⁻³; magnetic moment = 0.00 μB/f.u.; energy of formation = 138.0 kJ/mol of formula units; space-group type = I-42d
1.0
-4.2200 4.2200 3.0921
4.2200 -4.2200 3.0921
4.2200 4.2200 -3.0921
La Cd Re
4 2 2
Cartesian
2.1100 1.6087 -0.7730
2.6113 -2.1100 3.8651
2.1100 2.6113 2.3191
1.6087 6.3300 0.7730
4.2200 0.0000 1.5460
0.0000 0.0000 3.0921
0.0000 0.0000 0.0000
0.0000 4.2200 1.5460